No. 1
A relaxed RbAl2I crystal. Source: Alexandria, functional GGA-PBE.

Lattice parameters (Å, degrees): 5.8233 5.8233 5.8233 60.00 60.00 60.00
Fractional positions:
I: 0.5000 0.5000 0.5000
Rb: 0.0000 0.0000 0.0000
Al: 0.7500 0.7500 0.7500
Al: 0.2500 0.2500 0.2500

Computed properties:
For the energy relative to the elements, uncorrected, the calculation gives 0.50 eV per atom. The calculation puts the raw total energy at -8.0 eV per cell. As for the offset from the most stable computed form: 505 meV per atom.


No. 2
A relaxed Rb2AlI5 crystal. Source: Alexandria, functional GGA-PBE.

Lattice parameters (Å, degrees): 8.5855 8.5856 8.0553 122.20 122.20 90.00
Fractional positions:
I: 0.7974 0.2387 0.0360
I: 0.2387 0.7973 0.0360
I: 0.7973 0.7973 0.0360
I: 0.2387 0.2387 0.0360
I: 0.7207 0.7207 0.4414
Rb: 0.2604 0.7604 0.5208
Rb: 0.7604 0.2604 0.5208
Al: 0.9635 0.9635 0.9269

Computed properties:
For the energy relative to the elements, uncorrected, the calculation gives -1.05 eV per atom. The calculation puts the raw total energy at -21.8 eV per cell.


Question: What is the formula in the second record?
Answer: Rb2AlI5


Question: The highest raw total energy belongs to which entry?
Answer: RbAl2I


Question: Number 1 is which compound?
Answer: RbAl2I